<P>
{
  "formula": "TbPmSi2",
  "functional": "PBE",
  "state": "relaxed",
  "lattice_angstrom": [[4.370, 0.000, -0.029], [0.000, 3.885, 0.000], [-2.148, 0.000, 5.384]],
  "species": ["Pm", "Tb", "Si", "Si"],
  "fractional_positions": [[0.723, 0.000, 0.986], [0.444, 0.500, 0.426], [0.156, 0.500, 0.851], [0.008, 0.000, 0.555]],
  "magmom_total_mub_per_cell": 0.00,
  "mass_density_g_cm3": 6.56,
  "dos_at_fermi_per_ev_atom": 0.751
}

<Q>
{
  "formula": "TbPmSi2",
  "functional": "PBE",
  "state": "relaxed",
  "lattice_angstrom": [[-4.586, -0.220, -0.766], [-2.644, -2.888, 2.517], [-3.174, 2.715, 4.085]],
  "species": ["Pm", "Si", "Si", "Tb"],
  "fractional_positions": [[0.000, 0.000, 0.000], [0.245, 0.245, 0.266], [0.755, 0.755, 0.734], [0.500, 0.500, 0.500]],
  "magmom_total_mub_per_cell": 0.00,
  "mass_density_g_cm3": 6.14,
  "dos_at_fermi_per_ev_atom": 0.572
}

<R>
{
  "formula": "TbPmSi2",
  "functional": "PBE",
  "state": "relaxed",
  "lattice_angstrom": [[3.332, 0.000, 0.000], [0.000, 3.332, 0.000], [0.000, 0.000, 8.100]],
  "species": ["Tb", "Pm", "Si", "Si"],
  "fractional_positions": [[0.500, 0.500, 0.500], [0.500, 0.500, 0.000], [0.000, 0.000, 0.255], [0.000, 0.000, 0.745]],
  "magmom_total_mub_per_cell": 0.00,
  "mass_density_g_cm3": 6.65,
  "dos_at_fermi_per_ev_atom": 0.829
}

List of relative energies, unit eV/atom: <P> 0.000; <Q> 0.312; <R> 0.343

<P>
{
  "formula": "TbPmZnSi",
  "functional": "PBE",
  "state": "relaxed",
  "lattice_angstrom": [[4.242, 0.000, 0.000], [0.000, 4.090, 0.000], [-2.121, 0.000, 5.527]],
  "species": ["Si", "Tb", "Pm", "Zn"],
  "fractional_positions": [[0.572, 0.500, 0.145], [0.139, 0.000, 0.279], [0.855, 0.500, 0.710], [0.433, 0.000, 0.867]],
  "magmom_total_mub_per_cell": 0.27,
  "mass_density_g_cm3": 6.88,
  "dos_at_fermi_per_ev_atom": 1.054
}

<Q>
{
  "formula": "TbPmZnSi",
  "functional": "PBE",
  "state": "relaxed",
  "lattice_angstrom": [[5.056, 0.000, 0.000], [2.528, 4.378, 0.000], [2.528, 1.459, 4.128]],
  "species": ["Pm", "Si", "Tb", "Zn"],
  "fractional_positions": [[0.500, 0.500, 0.500], [0.750, 0.750, 0.750], [0.000, 0.000, 0.000], [0.250, 0.250, 0.250]],
  "magmom_total_mub_per_cell": 0.00,
  "mass_density_g_cm3": 7.22,
  "dos_at_fermi_per_ev_atom": 0.520
}

List of relative energies, unit eV/atom: <P> 0.000; <Q> 0.094

<P>
{
  "formula": "PmSiTc",
  "functional": "PBE",
  "state": "relaxed",
  "lattice_angstrom": [[3.991, 0.140, 0.752], [1.985, 5.913, -0.642], [1.021, 2.256, 5.151]],
  "species": ["Tc", "Tc", "Pm", "Pm", "Si", "Si"],
  "fractional_positions": [[0.230, 0.912, 0.628], [0.770, 0.088, 0.372], [0.424, 0.302, 0.851], [0.576, 0.698, 0.149], [0.132, 0.335, 0.402], [0.868, 0.665, 0.598]],
  "magmom_total_mub_per_cell": 0.00,
  "mass_density_g_cm3": 7.22,
  "dos_at_fermi_per_ev_atom": 0.534
}

<Q>
{
  "formula": "PmSiTc",
  "functional": "PBE",
  "state": "relaxed",
  "lattice_angstrom": [[-0.653, -3.138, 2.487], [3.888, 0.425, 1.556], [-3.212, 2.068, 1.767]],
  "species": ["Si", "Tc", "Pm"],
  "fractional_positions": [[0.167, 0.000, 0.000], [0.167, 0.667, 0.333], [0.667, 0.333, 0.667]],
  "magmom_total_mub_per_cell": 0.00,
  "mass_density_g_cm3": 7.23,
  "dos_at_fermi_per_ev_atom": 0.883
}

List of relative energies, unit eV/atom: <P> 0.000; <Q> 0.065

<P>
{
  "formula": "PmSi2Tc",
  "functional": "PBE",
  "state": "relaxed",
  "lattice_angstrom": [[3.148, 0.000, 0.000], [0.000, 3.148, 0.000], [0.000, 0.000, 6.982]],
  "species": ["Si", "Si", "Tc", "Pm"],
  "fractional_positions": [[0.000, 0.000, 0.812], [0.000, 0.000, 0.188], [0.500, 0.500, 0.000], [0.500, 0.500, 0.500]],
  "magmom_total_mub_per_cell": 0.00,
  "mass_density_g_cm3": 7.18,
  "dos_at_fermi_per_ev_atom": 0.737
}

<Q>
{
  "formula": "PmSi2Tc",
  "functional": "PBE",
  "state": "relaxed",
  "lattice_angstrom": [[4.806, 0.000, 0.000], [2.403, 4.162, 0.000], [2.403, 1.387, 6.072]],
  "species": ["Pm", "Si", "Si", "Tc"],
  "fractional_positions": [[0.500, 0.500, 0.500], [0.127, 0.127, 0.618], [0.873, 0.873, 0.382], [0.000, 0.000, 0.000]],
  "magmom_total_mub_per_cell": 2.63,
  "mass_density_g_cm3": 4.09,
  "dos_at_fermi_per_ev_atom": 0.843
}

<R>
{
  "formula": "PmSi2Tc",
  "functional": "PBE",
  "state": "relaxed",
  "lattice_angstrom": [[3.980, 0.000, 0.000], [0.000, 7.299, 0.000], [0.000, 0.000, 10.192]],
  "species": ["Si", "Si", "Si", "Si", "Si", "Si", "Si", "Si", "Pm", "Pm", "Pm", "Pm", "Tc", "Tc", "Tc", "Tc"],
  "fractional_positions": [[0.750, 0.659, 0.688], [0.250, 0.341, 0.312], [0.250, 0.797, 0.574], [0.750, 0.203, 0.426], [0.750, 0.703, 0.074], [0.250, 0.841, 0.188], [0.250, 0.297, 0.926], [0.750, 0.159, 0.812], [0.250, 0.356, 0.626], [0.250, 0.856, 0.874], [0.750, 0.644, 0.374], [0.750, 0.144, 0.126], [0.750, 0.488, 0.893], [0.250, 0.012, 0.393], [0.250, 0.512, 0.107], [0.750, 0.988, 0.607]],
  "magmom_total_mub_per_cell": 0.00,
  "mass_density_g_cm3": 6.71,
  "dos_at_fermi_per_ev_atom": 0.516
}

List of relative energies, unit eV/atom: <P> 0.249; <Q> 1.766; <R> 0.000

<P>
{
  "formula": "PmSi2Tc3",
  "functional": "PBE",
  "state": "relaxed",
  "lattice_angstrom": [[4.159, 0.000, 0.000], [-2.079, 7.466, -0.062], [0.000, -3.454, 6.738]],
  "species": ["Tc", "Tc", "Tc", "Tc", "Tc", "Tc", "Pm", "Pm", "Si", "Si", "Si", "Si"],
  "fractional_positions": [[0.044, 0.088, 0.385], [0.299, 0.598, 0.531], [0.413, 0.826, 0.344], [0.701, 0.402, 0.469], [0.956, 0.912, 0.615], [0.587, 0.174, 0.656], [0.855, 0.710, 0.937], [0.145, 0.290, 0.063], [0.522, 0.045, 0.180], [0.478, 0.955, 0.820], [0.810, 0.619, 0.290], [0.190, 0.381, 0.710]],
  "magmom_total_mub_per_cell": 0.00,
  "mass_density_g_cm3": 7.89,
  "dos_at_fermi_per_ev_atom": 0.641
}

<Q>
{
  "formula": "PmSi2Tc3",
  "functional": "PBE",
  "state": "relaxed",
  "lattice_angstrom": [[-2.625, -1.272, 2.879], [-4.730, -4.945, -3.579], [1.340, -7.563, 0.798]],
  "species": ["Si", "Si", "Si", "Si", "Pm", "Pm", "Tc", "Tc", "Tc", "Tc", "Tc", "Tc"],
  "fractional_positions": [[0.500, 0.204, 0.796], [0.188, 0.311, 0.312], [0.812, 0.689, 0.688], [0.500, 0.796, 0.204], [0.126, 0.874, 0.874], [0.874, 0.126, 0.126], [0.689, 0.514, 0.108], [0.000, 0.646, 0.354], [0.689, 0.108, 0.515], [0.311, 0.892, 0.485], [0.000, 0.354, 0.646], [0.311, 0.486, 0.892]],
  "magmom_total_mub_per_cell": 0.00,
  "mass_density_g_cm3": 8.03,
  "dos_at_fermi_per_ev_atom": 0.685
}

List of relative energies, unit eV/atom: <P> 0.000; <Q> 0.272

<P>
{
  "formula": "Pm2SiTc",
  "functional": "PBE",
  "state": "relaxed",
  "lattice_angstrom": [[5.040, 0.000, 0.000], [2.520, 4.365, 0.000], [2.520, 1.455, 4.115]],
  "species": ["Pm", "Pm", "Tc", "Si"],
  "fractional_positions": [[0.750, 0.750, 0.750], [0.250, 0.250, 0.250], [0.000, 0.000, 0.000], [0.500, 0.500, 0.500]],
  "magmom_total_mub_per_cell": 0.00,
  "mass_density_g_cm3": 7.63,
  "dos_at_fermi_per_ev_atom": 0.638
}

<Q>
{
  "formula": "Pm2SiTc",
  "functional": "PBE",
  "state": "relaxed",
  "lattice_angstrom": [[-3.831, 2.753, 0.180], [-3.870, -4.955, -6.556], [0.973, -3.011, 4.847]],
  "species": ["Si", "Si", "Pm", "Pm", "Pm", "Pm", "Tc", "Tc"],
  "fractional_positions": [[0.503, 0.750, 0.000], [0.497, 0.250, 0.000], [0.180, 0.090, 0.359], [0.821, 0.410, 0.641], [0.820, 0.910, 0.641], [0.179, 0.590, 0.359], [0.003, 0.750, 0.000], [0.997, 0.250, 0.000]],
  "magmom_total_mub_per_cell": 0.00,
  "mass_density_g_cm3": 6.75,
  "dos_at_fermi_per_ev_atom": 0.458
}

List of relative energies, unit eV/atom: <P> 0.103; <Q> 0.000

<P>
{
  "formula": "PmSi3Tc3",
  "functional": "PBE",
  "state": "relaxed",
  "lattice_angstrom": [[6.581, 0.000, 0.000], [0.000, 6.581, 0.000], [0.000, 0.000, 6.581]],
  "species": ["Tc", "Tc", "Tc", "Tc", "Tc", "Tc", "Si", "Si", "Si", "Si", "Si", "Si", "Pm", "Pm"],
  "fractional_positions": [[0.750, 0.500, 0.000], [0.000, 0.250, 0.500], [0.000, 0.750, 0.500], [0.500, 0.000, 0.750], [0.500, 0.000, 0.250], [0.250, 0.500, 0.000], [0.250, 0.000, 0.500], [0.000, 0.500, 0.750], [0.000, 0.500, 0.250], [0.750, 0.000, 0.500], [0.500, 0.250, 0.000], [0.500, 0.750, 0.000], [0.500, 0.500, 0.500], [0.000, 0.000, 0.000]],
  "magmom_total_mub_per_cell": 4.56,
  "mass_density_g_cm3": 6.10,
  "dos_at_fermi_per_ev_atom": 1.058
}

<Q>
{
  "formula": "PmSi3Tc3",
  "functional": "PBE",
  "state": "relaxed",
  "lattice_angstrom": [[-2.574, -0.716, 3.234], [-6.866, -3.438, -6.226], [5.856, -3.520, 3.882]],
  "species": ["Tc", "Tc", "Tc", "Tc", "Tc", "Tc", "Si", "Si", "Si", "Si", "Si", "Si", "Pm", "Pm"],
  "fractional_positions": [[0.250, 0.992, 0.263], [0.750, 0.008, 0.737], [0.750, 0.110, 0.149], [0.250, 0.230, 0.022], [0.250, 0.890, 0.851], [0.750, 0.770, 0.978], [0.250, 0.293, 0.387], [0.250, 0.605, 0.802], [0.750, 0.929, 0.375], [0.750, 0.395, 0.198], [0.750, 0.707, 0.613], [0.250, 0.071, 0.625], [0.750, 0.338, 0.714], [0.250, 0.662, 0.286]],
  "magmom_total_mub_per_cell": 0.00,
  "mass_density_g_cm3": 7.21,
  "dos_at_fermi_per_ev_atom": 0.714
}

List of relative energies, unit eV/atom: <P> 0.571; <Q> 0.000

<P>
{
  "formula": "PmSi3Tc",
  "functional": "PBE",
  "state": "relaxed",
  "lattice_angstrom": [[-1.751, -5.556, 0.170], [5.049, -1.651, -1.928], [2.006, -0.459, 5.645]],
  "species": ["Si", "Si", "Si", "Si", "Si", "Si", "Tc", "Tc", "Pm", "Pm"],
  "fractional_positions": [[0.925, 0.528, 0.915], [0.425, 0.825, 0.987], [0.925, 0.528, 0.487], [0.938, 0.158, 0.701], [0.438, 0.194, 0.201], [0.425, 0.825, 0.415], [0.644, 0.543, 0.201], [0.144, 0.809, 0.701], [0.445, 0.334, 0.701], [0.945, 0.019, 0.201]],
  "magmom_total_mub_per_cell": 0.00,
  "mass_density_g_cm3": 5.49,
  "dos_at_fermi_per_ev_atom": 0.483
}

<Q>
{
  "formula": "PmSi3Tc",
  "functional": "PBE",
  "state": "relaxed",
  "lattice_angstrom": [[4.846, 0.000, 2.530], [1.930, 5.728, 2.210], [-0.260, -0.583, 6.404]],
  "species": ["Si", "Si", "Si", "Si", "Si", "Si", "Tc", "Tc", "Pm", "Pm"],
  "fractional_positions": [[0.750, 0.598, 0.902], [0.729, 0.271, 0.771], [0.771, 0.729, 0.229], [0.250, 0.402, 0.098], [0.229, 0.271, 0.771], [0.271, 0.729, 0.229], [0.000, 0.500, 0.500], [0.500, 0.000, 0.000], [0.750, 0.202, 0.298], [0.250, 0.798, 0.702]],
  "magmom_total_mub_per_cell": 0.00,
  "mass_density_g_cm3": 5.88,
  "dos_at_fermi_per_ev_atom": 0.426
}

List of relative energies, unit eV/atom: <P> 0.016; <Q> 0.000

<P>
{
  "formula": "Pm3Si3Tc",
  "functional": "PBE",
  "state": "relaxed",
  "lattice_angstrom": [[4.236, 0.000, 0.638], [2.093, 5.520, 0.482], [0.176, -0.077, 13.208]],
  "species": ["Pm", "Pm", "Pm", "Pm", "Pm", "Pm", "Si", "Si", "Si", "Si", "Si", "Si", "Tc", "Tc"],
  "fractional_positions": [[0.521, 0.331, 0.626], [0.749, 0.731, 0.771], [0.251, 0.269, 0.229], [0.479, 0.669, 0.374], [0.396, 0.287, 0.920], [0.604, 0.713, 0.080], [0.106, 0.861, 0.927], [0.859, 0.740, 0.543], [0.894, 0.139, 0.073], [0.941, 0.882, 0.237], [0.059, 0.118, 0.763], [0.141, 0.260, 0.457], [0.757, 0.072, 0.413], [0.243, 0.928, 0.587]],
  "magmom_total_mub_per_cell": 0.00,
  "mass_density_g_cm3": 6.65,
  "dos_at_fermi_per_ev_atom": 0.706
}

<Q>
{
  "formula": "Pm3Si3Tc",
  "functional": "PBE",
  "state": "relaxed",
  "lattice_angstrom": [[-4.225, 3.430, 2.199], [-5.289, -6.713, 0.309], [4.979, 1.833, 6.707]],
  "species": ["Tc", "Tc", "Si", "Si", "Si", "Si", "Si", "Si", "Pm", "Pm", "Pm", "Pm", "Pm", "Pm"],
  "fractional_positions": [[0.750, 0.333, 0.667], [0.250, 0.667, 0.333], [0.750, 0.627, 0.914], [0.250, 0.914, 0.287], [0.250, 0.713, 0.627], [0.250, 0.373, 0.086], [0.750, 0.086, 0.713], [0.750, 0.287, 0.373], [0.250, 0.092, 0.696], [0.750, 0.696, 0.603], [0.750, 0.908, 0.304], [0.250, 0.304, 0.397], [0.750, 0.397, 0.092], [0.250, 0.603, 0.908]],
  "magmom_total_mub_per_cell": 0.00,
  "mass_density_g_cm3": 5.51,
  "dos_at_fermi_per_ev_atom": 1.051
}

List of relative energies, unit eV/atom: <P> 0.000; <Q> 0.407

<P>
{
  "formula": "PmSi2Tc2",
  "functional": "PBE",
  "state": "relaxed",
  "lattice_angstrom": [[-2.582, 3.170, -0.483], [-2.747, -1.854, 2.523], [6.972, 4.096, 7.162]],
  "species": ["Tc", "Tc", "Tc", "Tc", "Pm", "Pm", "Si", "Si", "Si", "Si"],
  "fractional_positions": [[0.538, 0.288, 0.077], [0.462, 0.712, 0.923], [0.963, 0.213, 0.927], [0.037, 0.787, 0.073], [0.164, 0.414, 0.328], [0.836, 0.586, 0.672], [0.721, 0.971, 0.443], [0.279, 0.029, 0.557], [0.605, 0.855, 0.210], [0.395, 0.145, 0.790]],
  "magmom_total_mub_per_cell": 0.00,
  "mass_density_g_cm3": 7.40,
  "dos_at_fermi_per_ev_atom": 0.335
}

<Q>
{
  "formula": "PmSi2Tc2",
  "functional": "PBE",
  "state": "relaxed",
  "lattice_angstrom": [[-3.731, 0.819, 1.646], [-0.259, -3.921, 1.362], [4.241, 2.932, 2.898]],
  "species": ["Tc", "Tc", "Si", "Si", "Pm"],
  "fractional_positions": [[0.250, 0.750, 0.500], [0.750, 0.250, 0.500], [0.625, 0.625, 0.250], [0.375, 0.375, 0.750], [0.000, 0.000, 0.000]],
  "magmom_total_mub_per_cell": 0.00,
  "mass_density_g_cm3": 7.43,
  "dos_at_fermi_per_ev_atom": 1.033
}

List of relative energies, unit eV/atom: <P> 0.011; <Q> 0.000